# 1
This record from Alexandria via LeMat-Bulk describes a relaxed structure of Sm8Ir3PdBr4. The functional is GGA-PBE.

Values from the calculation:
- Space-group type: No. 12
- Density of states at the Fermi level: 0.387 states/eV/atom
- Size of the total moment: 0.000 Bohr magnetons per cell
- Raw formation energy: -1.095 eV/atom

Cell: 8.270 9.072 8.269 Å, 117.15 120.00 90.00°
Element x y z (fractional)
1 Sm 0.236 0.695 0.959
2 Sm 0.236 0.695 0.473
3 Sm 0.268 0.305 0.537
4 Sm 0.723 0.695 0.959
5 Sm 0.277 0.305 0.041
6 Sm 0.732 0.695 0.463
7 Sm 0.764 0.305 0.527
8 Sm 0.764 0.305 0.041
9 Ir 0.500 0.500 0.000
10 Ir 0.500 0.500 0.500
11 Ir 0.000 0.500 0.500
12 Pd 0.000 0.500 0.000
13 Br 0.500 0.000 0.000
14 Br 0.500 0.000 0.500
15 Br 0.000 0.000 0.000
16 Br 0.000 0.000 0.500

=====

# 2
This record from Alexandria via LeMat-Bulk describes a relaxed structure of Te2PtPb. The functional is GGA-PBE.

Values from the calculation:
- Space-group type: No. 44
- Density of states at the Fermi level: 0.695 states/eV/atom
- Size of the total moment: 0.000 Bohr magnetons per cell
- Raw formation energy: -0.045 eV/atom

Cell: 7.052 7.052 7.052 Å, 150.36 141.46 49.36°
Element x y z (fractional)
1 Pb 0.433 0.433 0.000
2 Pt 0.239 0.739 0.500
3 Te 0.071 0.071 0.000
4 Te 0.757 0.257 0.500

=====

# 3
This record from Alexandria via LeMat-Bulk describes a relaxed structure of Pm4PrIn3. The functional is GGA-PBE.

Values from the calculation:
- Space-group type: No. 51
- Density of states at the Fermi level: 1.383 states/eV/atom
- Energy relative to the elements: -314 meV/atom
- Size of the total moment: 0.008 Bohr magnetons per cell

Cell: 5.817 7.237 11.315 Å, 90.00 90.00 90.00°
Element x y z (fractional)
1 Pr 0.000 0.500 0.000
2 Pr 0.000 0.500 0.500
3 In 0.000 0.000 0.000
4 In 0.000 0.000 0.500
5 In 0.598 0.000 0.750
6 In 0.402 0.000 0.250
7 In 0.595 0.500 0.750
8 In 0.405 0.500 0.250
9 Pm 0.500 0.755 0.000
10 Pm 0.500 0.755 0.500
11 Pm 0.500 0.245 0.000
12 Pm 0.500 0.245 0.500
13 Pm 0.087 0.757 0.750
14 Pm 0.913 0.757 0.250
15 Pm 0.913 0.243 0.250
16 Pm 0.087 0.243 0.750

=====

# 4
This record from Alexandria via LeMat-Bulk describes a relaxed structure of Y2Ho4Sc. The functional is GGA-PBE.

Values from the calculation:
- Space-group type: No. 64
- Density of states at the Fermi level: 1.542 states/eV/atom
- Energy relative to the elements: 173 meV/atom
- Size of the total moment: 0.000 Bohr magnetons per cell

Cell: 5.486 12.134 13.085 Å, 90.00 90.00 90.00°
Element x y z (fractional)
1 Y 0.000 0.931 0.845
2 Y 0.500 0.569 0.155
3 Y 0.000 0.431 0.655
4 Y 0.500 0.069 0.345
5 Y 0.000 0.069 0.155
6 Y 0.500 0.431 0.845
7 Y 0.000 0.569 0.345
8 Y 0.500 0.931 0.655
9 Ho 0.999 0.746 0.575
10 Ho 0.499 0.754 0.425
11 Ho 0.001 0.246 0.925
12 Ho 0.501 0.254 0.075
13 Ho 0.001 0.254 0.425
14 Ho 0.501 0.246 0.575
15 Ho 0.999 0.754 0.075
16 Ho 0.499 0.746 0.925
17 Ho 0.001 0.146 0.679
18 Ho 0.501 0.354 0.321
19 Ho 0.999 0.646 0.821
20 Ho 0.499 0.854 0.179
21 Ho 0.999 0.854 0.321
22 Ho 0.499 0.646 0.679
23 Ho 0.001 0.354 0.179
24 Ho 0.501 0.146 0.821
25 Sc 0.000 0.000 0.500
26 Sc 0.500 0.500 0.500
27 Sc 0.000 0.500 0.000
28 Sc 0.500 0.000 0.000

=====

# 5
This record from Alexandria via LeMat-Bulk describes a relaxed structure of CsRbCo2Cl8. The functional is GGA-PBE.

Values from the calculation:
- Space-group type: No. 148
- Density of states at the Fermi level: 1.121 states/eV/atom
- Size of the total moment: 8.000 Bohr magnetons per cell
- Raw formation energy: -1.058 eV/atom

Cell: 6.963 6.963 10.785 Å, 71.17 71.17 60.00°
Element x y z (fractional)
1 Cs 0.500 0.500 0.500
2 Rb 0.000 0.000 0.000
3 Co 0.244 0.244 0.269
4 Co 0.756 0.756 0.731
5 Cl 0.171 0.171 0.486
6 Cl 0.528 0.330 0.197
7 Cl 0.829 0.829 0.514
8 Cl 0.945 0.528 0.197
9 Cl 0.055 0.472 0.803
10 Cl 0.330 0.945 0.197
11 Cl 0.670 0.055 0.803
12 Cl 0.472 0.670 0.803

=====

# 6
This record from Alexandria via LeMat-Bulk describes a relaxed structure of AcCoGe2Rh. The functional is GGA-PBE.

Values from the calculation:
- Space-group type: No. 119
- Density of states at the Fermi level: 0.779 states/eV/atom
- Energy relative to the elements: -665 meV/atom
- Size of the total moment: 0.677 Bohr magnetons per cell

Cell: 4.264 4.264 6.112 Å, 110.42 110.42 90.00°
Element x y z (fractional)
1 Ac 0.000 0.000 0.000
2 Co 0.750 0.250 0.500
3 Ge 0.638 0.638 0.275
4 Ge 0.362 0.362 0.725
5 Rh 0.250 0.750 0.500